Crystalline La2Te2S at its relaxed geometry, computed with PBE-GGA.

POSCAR file:
```
La2Te2S
1.0
-6.176 -2.035 1.339
0.686 -5.812 -5.668
4.972 -0.006 6.463
La Te S
4 4 2
Cartesian
-2.434 -3.405 0.059 La
-1.491 -2.768 5.375 La
0.973 -5.084 -3.241 La
1.916 -4.448 2.075 La
0.732 -1.921 0.456 Te
2.026 -6.504 -0.543 Te
-2.544 -1.348 2.676 Te
-1.250 -5.932 1.678 Te
-4.289 -4.432 -1.830 S
-1.201 -3.415 -2.499 S
```

Computed properties:
ΔE_f (raw), eV/atom: -1.77
Distance to the lowest polymorph of the same formula, meV per atom: 29
SG: Ibam
Density, g/cm3: 5.6